1.
! PBE ErAgGeO4, relaxed; values from VASP
&SYSTEM
  ibrav = 0, nat = 14, ntyp = 4
/
ATOMIC_SPECIES
O 16.00 O.upf
Ge 72.64 Ge.upf
Er 167.26 Er.upf
Ag 107.87 Ag.upf
ATOMIC_POSITIONS crystal
O 0.749 0.292 0.211
O 0.251 0.708 0.789
Ge 0.636 0.614 0.114
O 0.763 0.734 0.234
O 0.732 0.266 0.766
Ge 0.364 0.386 0.886
Er 0.000 0.500 0.500
Er 0.000 0.000 0.000
Ag 0.000 0.000 0.500
O 0.251 0.289 0.208
O 0.268 0.734 0.234
Ag 0.500 0.000 0.500
O 0.237 0.266 0.766
O 0.749 0.711 0.792
CELL_PARAMETERS angstrom
-1.752 -4.405 -3.649
3.812 -5.113 -0.562
-2.374 -5.319 2.657
! **Formation energy without anion corrections**: -1.94 eV per atom
! **Crystal system**: orthorhombic
! **Magnetization**: 0.00 μB per cell

---

2.
! PBE Er3Ag3GeO8, relaxed; values from VASP
&SYSTEM
  ibrav = 0, nat = 15, ntyp = 4
/
ATOMIC_SPECIES
O 16.00 O.upf
Ag 107.87 Ag.upf
Er 167.26 Er.upf
Ge 72.64 Ge.upf
ATOMIC_POSITIONS crystal
O 0.727 0.454 0.680
O 0.207 0.978 0.684
Ag 0.000 0.000 0.000
O 0.230 0.022 0.316
O 0.207 0.414 0.684
O 0.793 0.022 0.316
Ag 0.500 0.500 0.000
Er 0.500 0.500 0.500
Er 0.000 0.500 0.500
Er 0.500 0.000 0.500
O 0.793 0.586 0.316
O 0.273 0.546 0.320
Ge 0.000 0.000 0.500
O 0.770 0.978 0.684
Ag 0.000 0.500 0.000
CELL_PARAMETERS angstrom
6.680 0.000 0.000
-3.340 5.782 -0.030
0.000 -3.844 5.719
! **Formation energy without anion corrections**: -2.01 eV per atom
! **Crystal system**: monoclinic
! **Magnetization**: 0.00 μB per cell

---

Q: formation energy without anion corrections of number 1 (ErAgGeO4)?
A: -1.94 eV per atom